Record 1
{"formula": "Sc2BrCl", "functional": "PBE-GGA", "state": "relaxed", "space_group": "Immm", "e_above_lowest_polymorph_ev_per_fu": 1.59, "dos_at_fermi_per_ev_cell": 3.19, "raw_formation_energy_kcal_per_mol_atoms": -20.15, "lattice": [[-0.445, -1.025, -5.509], [0.314, -5.604, -0.311], [-3.040, 4.392, 1.754]], "species": ["Br", "Cl", "Sc", "Sc"], "frac_coords": [[0.250, 0.750, 0.500], [0.750, 0.250, 0.500], [0.985, 0.985, 0.000], [0.515, 0.515, 0.000]]}

---

Record 2
{"formula": "Pr8IrOs3I4", "functional": "PBE-GGA", "state": "relaxed", "space_group": "C2/m", "dos_at_fermi_per_ev_cell": 10.00, "raw_formation_energy_kcal_per_mol_atoms": -13.87, "lattice": [[8.459, 0.000, 0.000], [0.000, 9.494, 0.714], [-4.230, -4.235, 5.990]], "species": ["Pr", "Pr", "Pr", "Pr", "Pr", "Pr", "Pr", "Pr", "Ir", "Os", "Os", "Os", "I", "I", "I", "I"], "frac_coords": [[0.231, 0.685, 0.954], [0.231, 0.685, 0.461], [0.271, 0.314, 0.542], [0.724, 0.685, 0.954], [0.276, 0.315, 0.046], [0.729, 0.686, 0.458], [0.769, 0.315, 0.539], [0.769, 0.315, 0.046], [0.000, 0.500, 0.000], [0.500, 0.500, 0.000], [0.500, 0.500, 0.500], [0.000, 0.500, 0.500], [0.500, 0.000, 0.000], [0.500, 0.000, 0.500], [0.000, 0.000, 0.000], [0.000, 0.000, 0.500]]}

---

Record 3
{"formula": "LiPr2NpTe5", "functional": "PBE-GGA", "state": "relaxed", "space_group": "Cmc2_1", "dos_at_fermi_per_ev_cell": 18.61, "raw_formation_energy_kcal_per_mol_atoms": -25.67, "lattice": [[4.441, 0.000, 0.000], [-2.220, 9.407, 0.000], [0.000, 0.000, 13.336]], "species": ["Li", "Li", "Pr", "Pr", "Pr", "Pr", "Np", "Np", "Te", "Te", "Te", "Te", "Te", "Te", "Te", "Te", "Te", "Te"], "frac_coords": [[0.558, 0.115, 0.962], [0.442, 0.885, 0.462], [0.873, 0.746, 0.803], [0.107, 0.215, 0.686], [0.127, 0.254, 0.303], [0.893, 0.785, 0.186], [0.800, 0.600, 0.509], [0.200, 0.400, 0.009], [0.366, 0.731, 0.999], [0.688, 0.376, 0.845], [0.498, 0.996, 0.781], [0.285, 0.570, 0.668], [0.952, 0.903, 0.572], [0.634, 0.269, 0.499], [0.312, 0.624, 0.345], [0.502, 0.004, 0.281], [0.715, 0.430, 0.168], [0.048, 0.097, 0.072]]}